[1]
Crystalline Ti4Ga2Fe at its relaxed geometry, computed with PBE.

As for the magnetic moment: 0.00 μB/atom. The energy of formation from the pure elements is 119 meV per atom. The density of states at the Fermi level comes out at 16.0 states/eV per cell.

Lattice parameters (Å, degrees): 4.287 4.287 13.860 90.00 90.00 90.00
Space group I4/mmm (No. 139)
Unique sites:
Ti: 0.000 0.000 0.175
Ti: 0.000 0.500 0.000
Ga: 0.000 0.000 0.365
Fe: 0.000 0.000 0.000

---

[2]
Crystalline Ti2GaFe at its relaxed geometry, computed with PBE.

As for the magnetic moment: 0.25 μB/atom. The energy of formation from the pure elements is -240 meV per atom. The density of states at the Fermi level comes out at 15.3 states/eV per cell.

Lattice parameters (Å, degrees): 6.111 6.111 6.111 90.00 90.00 90.00
Space group F-43m (No. 216)
Unique sites:
Ti: 0.000 0.000 0.000
Ti: 0.250 0.250 0.250
Ga: 0.250 0.250 0.750
Fe: 0.000 0.000 0.500

---

[3]
Crystalline Ti6Ga10Fe at its relaxed geometry, computed with PBE.

As for the magnetic moment: 0.03 μB/atom. The energy of formation from the pure elements is -257 meV per atom. The density of states at the Fermi level comes out at 13.1 states/eV per cell.

Lattice parameters (Å, degrees): 7.7025 7.7025 5.2870 90.00 90.00 120.00
Space group P-31m (No. 162)
Unique sites:
Ti: 0.0000 0.3899 0.2260
Ga: 0.0000 0.2436 0.7076
Ga: 0.3333 0.6667 0.0000
Ga: 0.3333 0.6667 0.5000
Fe: 0.0000 0.0000 0.0000

---

[4]
Crystalline TiGaFe4 at its relaxed geometry, computed with PBE.

As for the magnetic moment: 1.07 μB/atom. The energy of formation from the pure elements is -218 meV per atom. The density of states at the Fermi level comes out at 14.8 states/eV per cell.

Lattice parameters (Å, degrees): 6.716 6.716 6.716 90.00 90.00 90.00
Space group F-43m (No. 216)
Unique sites:
Ti: 0.000 0.000 0.000
Ga: 0.250 0.250 0.750
Fe: 0.124 0.124 0.376